The following is a PBE-GGA calculation of crystalline ScCdRh2 at its relaxed geometry, from the Alexandria database.

The value obtained for the magnetization is 0.0 Bohr magnetons per cell. The formation energy from the elements is -0.0238 eV/atom. The volume comes out at 18.9 A^3/atom.

The structure belongs to space group I-42d (No. 122); the cell edges are 4.146, 4.146 and 17.618 Å and the angles 90.00°, 90.00° and 90.00°. The distinct sites, in fractional coordinates, are Sc at (0.000, 0.000, 0.000), Cd at (0.000, 0.000, 0.500) and Rh at (0.214, 0.250, 0.125).